*P*
# MgNiBr2

MgNiBr2 at its PBEsol-relaxed geometry (SCAN, Alexandria via LeMat-Bulk).

Unit cell a=6.6296 b=6.6296 c=6.6296 alpha=90.00 beta=90.00 gamma=90.00
Closest atoms and distances in Å follow each position.
Fractional coordinates of all 16 atoms:
Mg: 0.0000 0.0000 0.0000  8 Br 2.87
Mg: 0.0000 0.5000 0.5000  8 Br 2.87
Mg: 0.5000 0.0000 0.5000  8 Br 2.87
Mg: 0.5000 0.5000 0.0000  8 Br 2.87
Ni: 0.0000 0.0000 0.5000  8 Br 2.87
Ni: 0.0000 0.5000 0.0000  8 Br 2.87
Ni: 0.5000 0.0000 0.0000  8 Br 2.87
Ni: 0.5000 0.5000 0.5000  8 Br 2.87
Br: 0.2500 0.2500 0.2500  4 Ni 2.87, 4 Mg 2.87
Br: 0.2500 0.2500 0.7500  4 Ni 2.87, 4 Mg 2.87
Br: 0.2500 0.7500 0.2500  4 Ni 2.87, 4 Mg 2.87
Br: 0.2500 0.7500 0.7500  4 Ni 2.87, 4 Mg 2.87
Br: 0.7500 0.2500 0.2500  4 Ni 2.87, 4 Mg 2.87
Br: 0.7500 0.2500 0.7500  4 Ni 2.87, 4 Mg 2.87
Br: 0.7500 0.7500 0.2500  4 Ni 2.87, 4 Mg 2.87
Br: 0.7500 0.7500 0.7500  4 Ni 2.87, 4 Mg 2.87

Its magnetic moment is 0.023 μB per atom. Its volume is 18.2 A^3/atom.

=====

*Q*
# MgNiBr2

MgNiBr2 at its PBEsol-relaxed geometry (SCAN, Alexandria via LeMat-Bulk).

Unit cell a=6.7683 b=7.2121 c=4.9303 alpha=90.00 beta=133.16 gamma=90.00
Closest atoms and distances in Å follow each position.
Fractional coordinates of all 8 atoms:
Mg: 0.0000 0.0000 0.0000  4 Br 2.55
Mg: 0.5000 0.5000 0.0000  4 Br 2.55
Ni: 0.0000 0.5000 0.0000  4 Br 2.55
Ni: 0.5000 0.0000 0.0000  4 Br 2.55
Br: 0.2500 0.2500 0.5000  2 Ni 2.55, 2 Mg 2.55
Br: 0.2500 0.7500 0.5000  2 Mg 2.55, 2 Ni 2.55
Br: 0.7500 0.2500 0.5000  2 Ni 2.55, 2 Mg 2.55
Br: 0.7500 0.7500 0.5000  2 Ni 2.55, 2 Mg 2.55

Its magnetic moment is 0.000 μB per atom. Its volume is 21.9 A^3/atom.

=====

Most favorable structure: *Q*. The second most favorable one is 0.165 eV/atom above it.

=====

*P*
# MgOsBr2

MgOsBr2 at its PBEsol-relaxed geometry (SCAN, Alexandria via LeMat-Bulk).

Unit cell a=4.5794 b=4.5794 c=15.9252 alpha=90.00 beta=90.00 gamma=90.00
Closest atoms and distances in Å follow each position.
Fractional coordinates of all 16 atoms:
Mg: 0.0000 0.0000 0.0000  4 Br 2.62
Mg: 0.0000 0.5000 0.2500  4 Br 2.62
Mg: 0.5000 0.0000 0.7500  4 Br 2.62
Mg: 0.5000 0.5000 0.5000  4 Br 2.62
Os: 0.0000 0.0000 0.5000  4 Br 2.52
Os: 0.0000 0.5000 0.7500  4 Br 2.52
Os: 0.5000 0.0000 0.2500  4 Br 2.52
Os: 0.5000 0.5000 0.0000  4 Br 2.52
Br: 0.2245 0.2500 0.6250  2 Os 2.52, 2 Mg 2.62
Br: 0.2500 0.7245 0.8750  2 Os 2.52, 2 Mg 2.62
Br: 0.2500 0.7755 0.3750  2 Os 2.52, 2 Mg 2.62
Br: 0.2755 0.2500 0.1250  2 Os 2.52, 2 Mg 2.62
Br: 0.7245 0.7500 0.1250  2 Os 2.52, 2 Mg 2.62
Br: 0.7500 0.2245 0.3750  2 Os 2.52, 2 Mg 2.62
Br: 0.7500 0.2755 0.8750  2 Os 2.52, 2 Mg 2.62
Br: 0.7755 0.7500 0.6250  2 Os 2.52, 2 Mg 2.62

Its magnetic moment is 0.000 μB per atom. Its volume is 20.9 A^3/atom.

=====

*Q*
# MgOsBr2

MgOsBr2 at its PBEsol-relaxed geometry (SCAN, Alexandria via LeMat-Bulk).

Unit cell a=15.8507 b=3.1414 c=3.7777 alpha=90.00 beta=103.68 gamma=90.00
Closest atoms and distances in Å follow each position.
Fractional coordinates of all 8 atoms:
Mg: 0.0000 0.0000 0.0000  2 Os 2.72, 4 Br 2.81-2.82
Mg: 0.5000 0.5000 0.0000  2 Os 2.72, 4 Br 2.81-2.82
Os: 0.1446 0.5000 0.1414  4 Br 2.54, 2 Mg 2.72
Os: 0.6446 0.0000 0.1414  4 Br 2.54, 2 Mg 2.72
Br: 0.1862 0.0000 0.6827  4 Os 2.54
Br: 0.4111 0.0000 0.4103  4 Mg 2.81-2.82, 2 Br 3.14
Br: 0.6862 0.5000 0.6827  4 Os 2.54
Br: 0.9111 0.5000 0.4103  4 Mg 2.81-2.82, 2 Br 3.14

Its magnetic moment is 0.000 μB per atom. Its volume is 22.8 A^3/atom.

=====

*R*
# MgOsBr2

MgOsBr2 at its PBEsol-relaxed geometry (SCAN, Alexandria via LeMat-Bulk).

Unit cell a=6.8061 b=6.8061 c=6.8061 alpha=90.00 beta=90.00 gamma=90.00
Closest atoms and distances in Å follow each position.
Fractional coordinates of all 16 atoms:
Mg: 0.0000 0.0000 0.0000  4 Br 2.95, 4 Os 2.95
Mg: 0.0000 0.5000 0.5000  4 Br 2.95, 4 Os 2.95
Mg: 0.5000 0.0000 0.5000  4 Br 2.95, 4 Os 2.95
Mg: 0.5000 0.5000 0.0000  4 Br 2.95, 4 Os 2.95
Os: 0.2500 0.2500 0.7500  4 Br 2.95, 4 Mg 2.95
Os: 0.2500 0.7500 0.2500  4 Br 2.95, 4 Mg 2.95
Os: 0.7500 0.2500 0.2500  4 Br 2.95, 4 Mg 2.95
Os: 0.7500 0.7500 0.7500  4 Br 2.95, 4 Mg 2.95
Br: 0.0000 0.0000 0.5000  4 Os 2.95, 4 Br 2.95
Br: 0.0000 0.5000 0.0000  4 Os 2.95, 4 Br 2.95
Br: 0.2500 0.2500 0.2500  4 Br 2.95, 4 Mg 2.95
Br: 0.2500 0.7500 0.7500  4 Br 2.95, 4 Mg 2.95
Br: 0.5000 0.0000 0.0000  4 Os 2.95, 4 Br 2.95
Br: 0.5000 0.5000 0.5000  4 Os 2.95, 4 Br 2.95
Br: 0.7500 0.2500 0.7500  4 Br 2.95, 4 Mg 2.95
Br: 0.7500 0.7500 0.2500  4 Br 2.95, 4 Mg 2.95

Its magnetic moment is 0.549 μB per atom. Its volume is 19.7 A^3/atom.

=====

*S*
# MgOsBr2

MgOsBr2 at its PBEsol-relaxed geometry (SCAN, Alexandria via LeMat-Bulk).

Unit cell a=3.0935 b=5.7711 c=9.4725 alpha=90.00 beta=90.00 gamma=90.00
Closest atoms and distances in Å follow each position.
Fractional coordinates of all 8 atoms:
Mg: 0.0000 0.0000 0.0000  6 Mg 3.09-3.27, 4 Br 3.16
Mg: 0.5000 0.5000 0.0000  6 Mg 3.09-3.27, 4 Br 3.16
Os: 0.0000 0.0000 0.5000  4 Br 2.51
Os: 0.5000 0.5000 0.5000  4 Br 2.51
Br: 0.0000 0.5000 0.2914  2 Os 2.51
Br: 0.0000 0.5000 0.7086  2 Os 2.51
Br: 0.5000 0.0000 0.2914  2 Os 2.51
Br: 0.5000 0.0000 0.7086  2 Os 2.51

Its magnetic moment is 0.000 μB per atom. Its volume is 21.1 A^3/atom.

=====

Most favorable structure: *Q*. The second most favorable one is 0.331 eV/atom above it.

=====

*P*
# Mg2OsBr

Mg2OsBr at its PBEsol-relaxed geometry (SCAN, Alexandria via LeMat-Bulk).

Unit cell a=3.5070 b=3.5070 c=6.7566 alpha=90.00 beta=90.00 gamma=90.00
Closest atoms and distances in Å follow each position.
Fractional coordinates of all 4 atoms:
Mg: 0.0000 0.0000 0.0000  1 Os 2.57, 4 Br 2.81
Mg: 0.5000 0.5000 0.2746  4 Os 2.58
Os: 0.0000 0.0000 0.3807  5 Mg 2.57-2.58
Br: 0.5000 0.5000 0.8050  4 Mg 2.81

Its magnetic moment is 0.123 μB per atom. Its volume is 20.8 A^3/atom.

=====

*Q*
# Mg2OsBr

Mg2OsBr at its PBEsol-relaxed geometry (SCAN, Alexandria via LeMat-Bulk).

Unit cell a=4.0661 b=4.0661 c=8.3791 alpha=90.00 beta=90.00 gamma=90.00
Closest atoms and distances in Å follow each position.
Fractional coordinates of all 8 atoms:
Mg: 0.0000 0.5000 0.2500  4 Mg 2.88, 4 Br 2.92, 4 Os 2.92
Mg: 0.0000 0.5000 0.7500  4 Mg 2.88, 4 Br 2.92, 4 Os 2.92
Mg: 0.5000 0.0000 0.2500  4 Mg 2.88, 4 Br 2.92, 4 Os 2.92
Mg: 0.5000 0.0000 0.7500  4 Mg 2.88, 4 Br 2.92, 4 Os 2.92
Os: 0.0000 0.0000 0.0000  4 Br 2.88, 8 Mg 2.92
Os: 0.5000 0.5000 0.5000  4 Br 2.88, 8 Mg 2.92
Br: 0.0000 0.0000 0.5000  4 Os 2.88, 8 Mg 2.92
Br: 0.5000 0.5000 0.0000  4 Os 2.88, 8 Mg 2.92

Its magnetic moment is 0.000 μB per atom. Its volume is 17.3 A^3/atom.

=====

Most favorable structure: *P*. The second most favorable one is 0.282 eV/atom above it.

=====

*P*
# MgP2Br

MgP2Br at its PBEsol-relaxed geometry (SCAN, Alexandria via LeMat-Bulk).

Unit cell a=3.4215 b=5.1081 c=4.8713 alpha=90.00 beta=103.91 gamma=90.00
Closest atoms and distances in Å follow each position.
Fractional coordinates of all 4 atoms:
Mg: 0.0000 0.0000 0.0000  2 Br 2.62, 4 P 2.79
P: 0.2015 0.5000 0.8492  2 P 2.21-2.24
P: 0.7985 0.5000 0.1508  2 P 2.21-2.24
Br: 0.5000 0.0000 0.5000  2 Mg 2.62

Its magnetic moment is 0.000 μB per atom. Its volume is 20.7 A^3/atom.

=====

*Q*
# MgP2Br

MgP2Br at its PBEsol-relaxed geometry (SCAN, Alexandria via LeMat-Bulk).

Unit cell a=3.3530 b=6.8840 c=8.5878 alpha=90.00 beta=90.00 gamma=90.00
Closest atoms and distances in Å follow each position.
Fractional coordinates of all 8 atoms:
Mg: 0.0000 0.0000 0.0000  2 Br 2.48, 2 P 2.61
Mg: 0.5000 0.5000 0.0000  2 Br 2.48, 2 P 2.61
P: 0.0000 0.0000 0.3901  2 P 2.15
P: 0.0000 0.5000 0.2328  2 P 2.15
P: 0.5000 0.0000 0.2328  2 P 2.15
P: 0.5000 0.5000 0.3901  2 P 2.15
Br: 0.0000 0.5000 0.7869  2 Mg 2.48
Br: 0.5000 0.0000 0.7869  2 Mg 2.48

Its magnetic moment is 0.000 μB per atom. Its volume is 24.8 A^3/atom.

=====

*R*
# MgP2Br

MgP2Br at its PBEsol-relaxed geometry (SCAN, Alexandria via LeMat-Bulk).

Unit cell a=3.3629 b=3.3629 c=7.2153 alpha=90.00 beta=90.00 gamma=90.00
Closest atoms and distances in Å follow each position.
Fractional coordinates of all 4 atoms:
Mg: 0.0000 0.0000 0.0000  1 P 2.50, 4 Br 2.77
P: 0.0000 0.0000 0.3462  4 P 2.40, 1 Mg 2.50
P: 0.5000 0.5000 0.2975  4 P 2.40
Br: 0.5000 0.5000 0.8041  4 Mg 2.77

Its magnetic moment is 0.000 μB per atom. Its volume is 20.4 A^3/atom.

=====

Most favorable structure: *P*. The second most favorable one is 0.015 eV/atom above it.